(1)
# NaCd2As2, relaxed, DFT GGA-PBE
# E_tot = -13.250 eV per formula unit
data_NaCd2As2
_cell_length_a 6.839
_cell_length_b 6.839
_cell_length_c 6.839
_cell_angle_alpha 142.20
_cell_angle_beta 142.20
_cell_angle_gamma 54.53
_space_group_name_H-M_alt 'P 1'
_space_group_IT_number 1
_space_group_name_Hall 'P 1'
loop_
_atom_site_label
_atom_site_fract_x
_atom_site_fract_y
_atom_site_fract_z
Na1 0.000 0.000 0.000
Cd1 0.250 0.750 0.500
Cd2 0.750 0.250 0.500
As1 0.389 0.389 0.000
As2 0.611 0.611 0.000

(2)
# KErAsO, relaxed, DFT GGA-PBE
# Total magnetic moment = 0.00 μB/atom
# E_tot = -21.590 eV per formula unit
data_KErAsO
_cell_length_a 4.925
_cell_length_b 6.820
_cell_length_c 5.982
_cell_angle_alpha 90.00
_cell_angle_beta 90.00
_cell_angle_gamma 90.00
_space_group_name_H-M_alt 'P 1'
_space_group_IT_number 1
_space_group_name_Hall 'P 1'
loop_
_atom_site_label
_atom_site_fract_x
_atom_site_fract_y
_atom_site_fract_z
K1 0.000 0.134 0.000
K2 0.000 0.866 0.500
Er1 0.500 0.213 0.502
Er2 0.500 0.787 0.002
As1 0.000 0.428 0.475
As2 0.000 0.572 0.975
O1 0.500 0.008 0.762
O2 0.500 0.992 0.262

(3)
# NbPt2Pb, relaxed, DFT GGA-PBE
# Total magnetic moment = 0.00 μB/atom
# E_tot = -26.048 eV per formula unit
data_NbPt2Pb
_cell_length_a 4.679
_cell_length_b 4.679
_cell_length_c 4.679
_cell_angle_alpha 60.00
_cell_angle_beta 60.00
_cell_angle_gamma 60.00
_space_group_name_H-M_alt 'P 1'
_space_group_IT_number 1
_space_group_name_Hall 'P 1'
loop_
_atom_site_label
_atom_site_fract_x
_atom_site_fract_y
_atom_site_fract_z
Nb1 0.000 0.000 0.000
Pt1 0.250 0.250 0.250
Pt2 0.500 0.500 0.500
Pb1 0.750 0.750 0.750

(4)
# MgCuMoIr, relaxed, DFT GGA-PBE
# Total magnetic moment = 0.00 μB/atom
# E_tot = -25.232 eV per formula unit
data_MgCuMoIr
_cell_length_a 4.372
_cell_length_b 4.372
_cell_length_c 4.372
_cell_angle_alpha 60.00
_cell_angle_beta 60.00
_cell_angle_gamma 60.00
_space_group_name_H-M_alt 'P 1'
_space_group_IT_number 1
_space_group_name_Hall 'P 1'
loop_
_atom_site_label
_atom_site_fract_x
_atom_site_fract_y
_atom_site_fract_z
Mg1 0.000 0.000 0.000
Cu1 0.750 0.750 0.750
Mo1 0.500 0.500 0.500
Ir1 0.250 0.250 0.250

(5)
# Cu2Ag3, relaxed, DFT GGA-PBE
# Formation energy = 0.081 eV/atom
# E_tot = -15.500 eV per formula unit
data_Cu2Ag3
_cell_length_a 7.584
_cell_length_b 7.584
_cell_length_c 5.727
_cell_angle_alpha 100.81
_cell_angle_beta 100.81
_cell_angle_gamma 28.85
_space_group_name_H-M_alt 'P 1'
_space_group_IT_number 1
_space_group_name_Hall 'P 1'
loop_
_atom_site_label
_atom_site_fract_x
_atom_site_fract_y
_atom_site_fract_z
Cu1 0.000 0.000 0.224
Cu2 0.000 0.000 0.776
Cu3 0.412 0.412 0.956
Cu4 0.588 0.588 0.044
Ag1 0.194 0.194 0.339
Ag2 0.194 0.194 0.853
Ag3 0.407 0.407 0.453
Ag4 0.593 0.593 0.547
Ag5 0.806 0.806 0.147
Ag6 0.806 0.806 0.661

(6)
# InTcTe2, relaxed, DFT GGA-PBE
# Total magnetic moment = 0.00 μB/atom
# E_tot = -16.401 eV per formula unit
data_InTcTe2
_cell_length_a 5.039
_cell_length_b 5.039
_cell_length_c 5.039
_cell_angle_alpha 60.00
_cell_angle_beta 60.00
_cell_angle_gamma 60.00
_space_group_name_H-M_alt 'P 1'
_space_group_IT_number 1
_space_group_name_Hall 'P 1'
loop_
_atom_site_label
_atom_site_fract_x
_atom_site_fract_y
_atom_site_fract_z
In1 0.000 0.000 0.000
Tc1 0.750 0.750 0.750
Te1 0.250 0.250 0.250
Te2 0.500 0.500 0.500

(7)
# TbSnNO, relaxed, DFT GGA-PBE
# Total magnetic moment = 0.00 μB/atom
# E_tot = -25.666 eV per formula unit
data_TbSnNO
_cell_length_a 4.361
_cell_length_b 4.361
_cell_length_c 7.676
_cell_angle_alpha 90.00
_cell_angle_beta 90.00
_cell_angle_gamma 90.00
_space_group_name_H-M_alt 'P 1'
_space_group_IT_number 1
_space_group_name_Hall 'P 1'
loop_
_atom_site_label
_atom_site_fract_x
_atom_site_fract_y
_atom_site_fract_z
Tb1 0.250 0.750 0.000
Tb2 0.750 0.250 0.000
Sn1 0.250 0.250 0.385
Sn2 0.750 0.750 0.615
N1 0.250 0.250 0.904
N2 0.750 0.750 0.096
O1 0.250 0.750 0.500
O2 0.750 0.250 0.500

(8)
# DyErAl2Pd4, relaxed, DFT GGA-PBE
# Total magnetic moment = 0.00 μB/atom
# E_tot = -44.983 eV per formula unit
data_DyErAl2Pd4
_cell_length_a 4.358
_cell_length_b 4.358
_cell_length_c 9.085
_cell_angle_alpha 90.00
_cell_angle_beta 90.00
_cell_angle_gamma 120.00
_space_group_name_H-M_alt 'P 1'
_space_group_IT_number 1
_space_group_name_Hall 'P 1'
loop_
_atom_site_label
_atom_site_fract_x
_atom_site_fract_y
_atom_site_fract_z
Dy1 0.000 0.000 0.000
Er1 0.667 0.333 0.500
Al1 0.333 0.667 0.251
Al2 0.333 0.667 0.749
Pd1 0.000 0.000 0.333
Pd2 0.000 0.000 0.667
Pd3 0.667 0.333 0.171
Pd4 0.667 0.333 0.829

(9)
# GdZrPO, relaxed, DFT GGA-PBE
# Total magnetic moment = 0.00 μB/atom
# E_tot = -29.396 eV per formula unit
data_GdZrPO
_cell_length_a 4.108
_cell_length_b 4.108
_cell_length_c 8.193
_cell_angle_alpha 90.00
_cell_angle_beta 90.00
_cell_angle_gamma 90.00
_space_group_name_H-M_alt 'P 1'
_space_group_IT_number 1
_space_group_name_Hall 'P 1'
loop_
_atom_site_label
_atom_site_fract_x
_atom_site_fract_y
_atom_site_fract_z
Gd1 0.250 0.750 0.000
Gd2 0.750 0.250 0.000
Zr1 0.250 0.250 0.388
Zr2 0.750 0.750 0.612
P1 0.250 0.250 0.766
P2 0.750 0.750 0.234
O1 0.250 0.750 0.500
O2 0.750 0.250 0.500

(10)
# PmSiI, relaxed, DFT GGA-PBE
# Total magnetic moment = 0.00 μB/atom
# E_tot = -14.918 eV per formula unit
data_PmSiI
_cell_length_a 4.177
_cell_length_b 4.177
_cell_length_c 12.357
_cell_angle_alpha 91.03
_cell_angle_beta 91.03
_cell_angle_gamma 60.00
_space_group_name_H-M_alt 'P 1'
_space_group_IT_number 1
_space_group_name_Hall 'P 1'
loop_
_atom_site_label
_atom_site_fract_x
_atom_site_fract_y
_atom_site_fract_z
Pm1 0.006 0.006 0.159
Pm2 0.994 0.994 0.841
Si1 0.334 0.334 0.006
Si2 0.666 0.666 0.994
I1 0.322 0.322 0.670
I2 0.678 0.678 0.330

(11)
# NbSnAu2, relaxed, DFT GGA-PBE
# Total magnetic moment = 0.28 μB/atom
# E_tot = -20.156 eV per formula unit
data_NbSnAu2
_cell_length_a 4.765
_cell_length_b 4.765
_cell_length_c 4.765
_cell_angle_alpha 60.00
_cell_angle_beta 60.00
_cell_angle_gamma 60.00
_space_group_name_H-M_alt 'P 1'
_space_group_IT_number 1
_space_group_name_Hall 'P 1'
loop_
_atom_site_label
_atom_site_fract_x
_atom_site_fract_y
_atom_site_fract_z
Nb1 0.000 0.000 0.000
Sn1 0.750 0.750 0.750
Au1 0.250 0.250 0.250
Au2 0.500 0.500 0.500

(12)
# La2YNi9, relaxed, DFT GGA-PBE
# Total magnetic moment = 0.01 μB/atom
# Formation energy = -0.348 eV/atom
# E_tot = -70.592 eV per formula unit
data_La2YNi9
_cell_length_a 8.771
_cell_length_b 8.771
_cell_length_c 8.771
_cell_angle_alpha 32.95
_cell_angle_beta 32.95
_cell_angle_gamma 32.95
_space_group_name_H-M_alt 'P 1'
_space_group_IT_number 1
_space_group_name_Hall 'P 1'
loop_
_atom_site_label
_atom_site_fract_x
_atom_site_fract_y
_atom_site_fract_z
La1 0.138 0.138 0.138
La2 0.862 0.862 0.862
Y1 0.000 0.000 0.000
Ni1 0.081 0.579 0.579
Ni2 0.333 0.333 0.333
Ni3 0.421 0.421 0.919
Ni4 0.421 0.919 0.421
Ni5 0.500 0.500 0.500
Ni6 0.579 0.081 0.579
Ni7 0.579 0.579 0.081
Ni8 0.667 0.667 0.667
Ni9 0.919 0.421 0.421